Here is Cr2InIr after structural relaxation from Alexandria via LeMat-Bulk. Energies are from PBE-GGA.

It has space group R3m (No. 160, hexagonal axes), with a = 2.8905 Å, b = 2.8905 Å, c = 24.9711 Å, α = 90.00°, β = 90.00° and γ = 120.00°. The asymmetric unit holds Cr at (0.0000, 0.0000, 0.0000), Cr at (0.0000, 0.0000, 0.2704), In at (0.0000, 0.0000, 0.7622) and Ir at (0.0000, 0.0000, 0.5230).

The total energy is -7.406 eV per atom. The crystal system is trigonal.